This record from Alexandria via LeMat-Bulk describes crystalline AgSnPdO4 at its relaxed geometry. The functional is GGA-PBE.

Calculated values
density of states at the Fermi level: 0.2604 states/eV/atom
total magnetic moment: 0.88 μB/f.u.
ΔE_f (raw): -0.770 eV/atom

Geometry as POSCAR:
```
AgSnPdO4
1.0
6.283 0.000 0.000
-3.141 5.815 -0.234
0.000 -3.348 5.505
Ag Sn Pd O
2 2 2 8
Cartesian
3.141 3.765 0.404
0.000 -1.298 4.867
3.141 -1.674 2.753
3.141 0.000 0.000
1.571 1.234 2.636
-1.571 1.234 2.636
3.141 0.284 3.633
1.771 -0.796 1.401
4.511 -0.796 1.401
3.141 1.682 1.333
0.000 0.785 3.938
1.370 3.264 3.870
-1.370 3.264 3.870
0.000 2.184 1.638
```

This record from Alexandria via LeMat-Bulk describes crystalline Sr3Ag2PdO6 at its relaxed geometry. The functional is GGA-PBE.

Calculated values
density of states at the Fermi level: 0.4599 states/eV/atom
total magnetic moment: 0.00 μB/f.u.
ΔE_f (raw): -1.328 eV/atom

Geometry as POSCAR:
```
Sr3Ag2PdO6
1.0
-1.888 1.114 -5.453
-0.491 -5.415 2.231
-5.768 1.470 2.297
Sr Ag Pd O
3 2 1 6
Cartesian
-4.399 -2.362 1.041
-3.749 -0.470 -1.965
0.000 0.000 0.000
-6.672 0.275 -0.801
-1.476 -3.107 -0.124
-2.884 0.735 1.149
-3.480 -3.324 -1.093
-2.264 -1.126 0.554
-2.515 -3.893 1.694
-5.884 -1.705 -1.479
-4.668 0.493 0.168
-5.633 1.062 -2.619
```

This record from Alexandria via LeMat-Bulk describes crystalline Sr2AgPdO4 at its relaxed geometry. The functional is GGA-PBE.

Calculated values
density of states at the Fermi level: 0.8772 states/eV/atom
total magnetic moment: 0.85 μB/f.u.
ΔE_f (raw): -1.403 eV/atom

Geometry as POSCAR:
```
Sr2AgPdO4
1.0
5.462 0.183 0.280
-2.162 5.019 -0.280
-2.162 -2.277 4.482
Sr Ag Pd O
2 1 1 4
Cartesian
0.569 3.287 1.050
0.000 0.000 0.000
-2.162 1.371 2.101
0.569 -0.361 3.432
0.893 1.375 2.473
-0.995 -0.740 2.228
4.164 2.378 0.281
-1.785 2.838 3.982
```

This record from Alexandria via LeMat-Bulk describes crystalline TaAgPdO4 at its relaxed geometry. The functional is GGA-PBE.

Calculated values
density of states at the Fermi level: 0.1181 states/eV/atom
total magnetic moment: 0.00 μB/f.u.
ΔE_f (raw): -1.405 eV/atom

Geometry as POSCAR:
```
TaAgPdO4
1.0
5.838 0.000 0.000
-2.919 6.324 0.276
0.000 -3.169 5.212
Ta Ag Pd O
2 2 2 8
Cartesian
2.919 -1.584 2.606
2.919 0.000 0.000
2.919 3.917 0.597
0.000 -0.763 4.890
1.460 1.577 2.744
-1.460 1.577 2.744
2.919 0.279 3.472
-1.286 5.356 1.472
1.286 5.356 1.472
2.919 1.627 1.256
0.000 1.528 4.232
4.205 -2.202 4.015
1.633 -2.202 4.015
0.000 2.876 2.015
```

This record from Alexandria via LeMat-Bulk describes crystalline Tb2AgPdO5 at its relaxed geometry. The functional is GGA-PBE.

Calculated values
density of states at the Fermi level: 0.5529 states/eV/atom
total magnetic moment: 1.03 μB/f.u.
ΔE_f (raw): -1.940 eV/atom

Geometry as POSCAR:
```
Tb2AgPdO5
1.0
5.764 0.000 0.000
0.000 6.585 0.000
0.000 0.000 6.585
Tb Ag Pd O
4 2 2 10
Cartesian
2.882 4.436 1.144
2.882 1.144 2.149
2.882 5.441 4.436
2.882 2.149 5.441
0.000 3.293 3.293
0.000 0.000 0.000
0.000 0.000 3.293
0.000 3.293 0.000
2.882 3.293 3.293
2.882 0.000 0.000
1.504 0.908 4.200
1.504 5.677 2.385
1.504 2.385 0.908
1.504 4.200 5.677
4.259 0.908 4.200
4.259 4.200 5.677
4.259 5.677 2.385
4.259 2.385 0.908
```

This record from Alexandria via LeMat-Bulk describes crystalline Tb3Ag3PdO8 at its relaxed geometry. The functional is GGA-PBE.

Calculated values
total magnetic moment: 0.00 μB/f.u.
ΔE_f (raw): -1.734 eV/atom

Geometry as POSCAR:
```
Tb3Ag3PdO8
1.0
6.829 0.000 0.000
-3.414 5.912 -0.025
0.000 -3.927 5.701
Tb Ag Pd O
3 3 1 8
Cartesian
3.414 -1.963 2.850
1.707 0.993 2.838
-1.707 0.993 2.838
0.000 0.000 0.000
-1.707 2.956 -0.013
1.707 2.956 -0.013
0.000 -1.963 2.850
0.000 1.974 1.787
3.414 0.012 3.889
3.414 2.165 1.738
0.000 -0.179 3.937
5.287 -1.078 1.752
-1.873 3.064 3.923
1.542 -1.078 1.752
1.873 3.064 3.923
```

This record from Alexandria via LeMat-Bulk describes crystalline TcAgPdO5 at its relaxed geometry. The functional is GGA-PBE.

Calculated values
density of states at the Fermi level: 0.5585 states/eV/atom
total magnetic moment: 0.00 μB/f.u.
ΔE_f (raw): -0.762 eV/atom

Geometry as POSCAR:
```
TcAgPdO5
1.0
6.023 0.033 0.467
-1.726 5.770 0.467
-1.239 -1.674 6.683
Tc Ag Pd O
2 2 2 10
Cartesian
3.607 1.174 2.138
-0.550 2.955 5.479
0.556 3.432 2.138
2.501 0.697 5.479
-0.620 -0.837 3.341
0.000 0.000 0.000
-1.296 4.804 2.138
4.354 -0.675 5.479
5.271 1.618 1.617
-2.214 2.511 6.000
3.668 -0.548 2.659
-0.611 4.677 4.959
3.031 2.105 3.501
0.026 2.024 4.116
2.548 1.453 0.775
0.509 2.676 6.843
```

This record from Alexandria via LeMat-Bulk describes crystalline Ag2TePdO4 at its relaxed geometry. The functional is GGA-PBE.

Calculated values
total magnetic moment: 0.00 μB/f.u.
ΔE_f (raw): -0.339 eV/atom

Geometry as POSCAR:
```
Ag2TePdO4
1.0
5.184 0.055 0.256
0.065 4.758 0.217
-2.381 -2.267 4.950
Ag Te Pd O
2 1 1 4
Cartesian
2.841 0.312 0.368
0.094 -0.156 2.719
2.616 2.132 2.665
-1.669 -0.120 4.897
1.076 1.636 3.728
4.328 1.734 1.352
1.554 3.279 1.446
3.138 -1.012 3.364
```

This record from Alexandria via LeMat-Bulk describes crystalline TiAgPdO4 at its relaxed geometry. The functional is GGA-PBE.

Calculated values
density of states at the Fermi level: 0.1281 states/eV/atom
total magnetic moment: 0.97 μB/f.u.
ΔE_f (raw): -1.329 eV/atom

Geometry as POSCAR:
```
TiAgPdO4
1.0
6.307 0.000 0.000
-3.154 5.659 -0.082
0.000 -3.128 5.144
Ti Ag Pd O
2 2 2 8
Cartesian
3.154 -1.564 2.572
3.154 0.000 0.000
3.154 3.824 0.564
0.000 -1.293 4.498
1.577 1.265 2.531
-1.577 1.265 2.531
3.154 0.275 3.458
-1.279 4.859 1.193
1.279 4.859 1.193
3.154 1.633 1.225
0.000 0.898 3.837
4.432 -2.328 3.869
1.875 -2.328 3.869
0.000 2.256 1.604
```

This record from Alexandria via LeMat-Bulk describes crystalline TlAgPd2O at its relaxed geometry. The functional is GGA-PBE.

Calculated values
density of states at the Fermi level: 0.5761 states/eV/atom
total magnetic moment: 0.00 μB/f.u.
ΔE_f (raw): 0.654 eV/atom

Geometry as POSCAR:
```
TlAgPd2O
1.0
5.206 0.000 0.000
0.000 4.125 0.000
0.000 0.000 5.206
O Tl Pd Ag
1 1 2 1
Cartesian
0.000 2.063 0.000
0.000 0.000 0.000
0.000 0.000 2.603
2.603 0.000 0.000
2.603 2.063 2.603
```

This record from Alexandria via LeMat-Bulk describes crystalline TlAg2Pd2O6 at its relaxed geometry. The functional is GGA-PBE.

Calculated values
density of states at the Fermi level: 0.3231 states/eV/atom
total magnetic moment: 0.00 μB/f.u.
ΔE_f (raw): -0.286 eV/atom

Geometry as POSCAR:
```
TlAg2Pd2O6
1.0
5.627 -0.004 0.090
-2.784 4.889 0.090
-0.987 -1.697 5.619
Tl Ag Pd O
1 2 2 6
Cartesian
-0.494 -0.848 2.810
4.241 0.802 0.090
-1.398 4.083 0.090
-0.450 2.396 2.900
2.306 0.793 2.900
1.325 2.277 4.000
-1.590 0.885 3.936
0.530 0.912 1.800
1.556 -0.945 3.936
3.445 2.303 1.864
0.300 4.134 1.864
```

This record from Alexandria via LeMat-Bulk describes crystalline Tl2Ag2PdO6 at its relaxed geometry. The functional is GGA-PBE.

Calculated values
density of states at the Fermi level: 0.0184 states/eV/atom
total magnetic moment: 0.00 μB/f.u.
ΔE_f (raw): -0.432 eV/atom

Geometry as POSCAR:
```
Tl2Ag2PdO6
1.0
5.779 -0.045 0.659
-2.895 5.001 0.659
-0.466 -0.800 6.229
Tl Ag Pd O
2 2 1 6
Cartesian
-0.199 2.898 3.773
2.618 1.259 3.773
4.486 0.707 0.659
-1.603 4.250 0.659
-0.233 -0.400 3.115
1.682 2.892 5.053
4.508 0.784 5.030
0.736 1.265 2.493
-1.547 4.306 5.030
-2.090 3.373 2.517
3.965 -0.150 2.517
```

This record from Alexandria via LeMat-Bulk describes crystalline TlAg2PdO at its relaxed geometry. The functional is GGA-PBE.

Calculated values
density of states at the Fermi level: 0.6850 states/eV/atom
total magnetic moment: 0.00 μB/f.u.
ΔE_f (raw): 0.045 eV/atom

Geometry as POSCAR:
```
TlAg2PdO
1.0
-0.207 1.189 4.423
3.712 -2.177 0.759
2.410 3.793 -0.907
O Tl Pd Ag
1 1 1 2
Cartesian
0.000 0.000 0.000
2.958 1.403 2.137
1.856 -1.088 0.379
1.205 1.897 -0.454
-0.103 0.595 2.211
```